1.
The following is a GGA-PBE calculation of a geometry-optimized SrNbNiAg structure, from the Alexandria database.

Calculated values
E ... -4.876 eV/atom
Space group ... R3m
Size of the total moment ... 0.000 μB/f.u.
E_form ... 0.22 eV/atom
DOS(E_F) ... 9.5 states/eV/cell
Excess energy over the best structure of this formula in the dataset ... 0.072 eV/atom

abc: 4.398 4.398 16.950
angles: 90.00 90.00 120.00
Atoms (fractional coordinates):
Ag1 0.333 0.667 0.689
Ag2 0.667 0.333 0.356
Ag3 0.000 0.000 0.022
Nb1 0.333 0.667 0.417
Nb2 0.000 0.000 0.751
Nb3 0.667 0.333 0.084
Ni1 0.000 0.000 0.420
Ni2 0.667 0.333 0.753
Ni3 0.333 0.667 0.086
Sr1 0.667 0.333 0.564
Sr2 0.333 0.667 0.897
Sr3 0.000 0.000 0.230

2.
The following is a GGA-PBE calculation of a geometry-optimized ReNiCl2 structure, from the Alexandria database.

Calculated values
E ... -5.232 eV/atom
Space group ... Cm
Size of the total moment ... 0.000 μB/f.u.
E_form (uncorrected) ... 0.2485 eV per atom
DOS(E_F) ... 2.8 states/eV/cell
Excess energy over the best structure of this formula in the dataset ... 0.177 eV/atom

abc: 4.446 4.446 7.644
angles: 71.22 71.22 38.89
Atoms (fractional coordinates):
Ni1 0.595 0.595 0.316
Cl1 0.869 0.869 0.116
Cl2 0.736 0.736 0.661
Re1 0.299 0.299 0.408

3.
The following is a GGA-PBE calculation of a geometry-optimized NdSmTmIn structure, from the Alexandria database.

Calculated values
E ... -4.396 eV/atom
Space group ... I-4m2
Size of the total moment ... 0.000 μB/f.u.
E_form ... -0.22 eV/atom
DOS(E_F) ... 6.2 states/eV/cell
Excess energy over the best structure of this formula in the dataset ... 0.000 eV/atom

abc: 4.840 4.840 6.090
angles: 113.42 113.42 90.00
Atoms (fractional coordinates):
Tm1 0.000 0.000 0.000
In1 0.250 0.750 0.500
Sm1 0.500 0.500 0.000
Nd1 0.750 0.250 0.500

4.
The following is a GGA-PBE calculation of a geometry-optimized KFe2P structure, from the Alexandria database.

Calculated values
E ... -5.465 eV/atom
Space group ... R3m
Size of the total moment ... 4.070 μB/f.u.
E_form ... 0.39 eV/atom
DOS(E_F) ... 1.6 states/eV/cell

abc: 8.722 8.722 8.722
angles: 20.57 20.57 20.57
Atoms (fractional coordinates):
P1 0.726 0.726 0.726
K1 0.493 0.493 0.493
Fe1 0.275 0.275 0.275
Fe2 0.006 0.006 0.006

5.
The following is a GGA-PBE calculation of a geometry-optimized DyMgRu2 structure, from the Alexandria database.

Calculated values
E ... -6.205 eV/atom
Space group ... P4/mmm
Size of the total moment ... 1.047 μB/f.u.
E_form ... -0.02 eV/atom
DOS(E_F) ... 5.3 states/eV/cell

abc: 3.375 3.375 6.251
angles: 90.00 90.00 90.00
Atoms (fractional coordinates):
Ru1 0.000 0.000 0.216
Ru2 0.000 0.000 0.784
Mg1 0.500 0.500 0.000
Dy1 0.500 0.500 0.500

6.
The following is a GGA-PBE calculation of a geometry-optimized TlPbSe2 structure, from the Alexandria database.

Calculated values
E ... -3.471 eV/atom
Space group ... C2/m
Size of the total moment ... 0.000 μB/f.u.
E_form (uncorrected) ... -0.2101 eV per atom
DOS(E_F) ... 2.3 states/eV/cell

abc: 8.367 5.298 3.785
angles: 89.54 63.76 129.17
Atoms (fractional coordinates):
Se1 0.500 0.000 0.500
Se2 0.000 0.000 0.000
Pb1 0.500 0.500 0.000
Tl1 0.000 0.500 0.500

7.
The following is a GGA-PBE calculation of a geometry-optimized Co4W3 structure, from the Alexandria database.

Calculated values
E ... -9.117 eV/atom
Space group ... P6/mmm
Size of the total moment ... 3.646 μB/f.u.
E_form ... 0.49 eV/atom
DOS(E_F) ... 7.6 states/eV/cell
Excess energy over the best structure of this formula in the dataset ... 0.384 eV/atom

abc: 5.029 5.029 4.531
angles: 90.00 90.00 120.00
Atoms (fractional coordinates):
Co1 0.000 0.000 0.739
Co2 0.333 0.667 0.500
Co3 0.667 0.333 0.500
Co4 0.000 0.000 0.261
W1 0.500 0.000 0.000
W2 0.000 0.500 0.000
W3 0.500 0.500 0.000

8.
The following is a GGA-PBE calculation of a geometry-optimized Zr4BeAl structure, from the Alexandria database.

Calculated values
E ... -7.117 eV/atom
Space group ... P4/mcc
Size of the total moment ... 0.000 μB/f.u.
E_form ... -0.17 eV/atom
DOS(E_F) ... 14.0 states/eV/cell
Excess energy over the best structure of this formula in the dataset ... 0.021 eV/atom

abc: 4.976 6.880 6.880
angles: 90.00 90.00 90.00
Atoms (fractional coordinates):
Zr1 0.000 0.646 0.836
Zr2 0.500 0.646 0.164
Zr3 0.000 0.164 0.646
Zr4 0.500 0.164 0.354
Zr5 0.500 0.836 0.646
Zr6 0.000 0.354 0.164
Zr7 0.000 0.836 0.354
Zr8 0.500 0.354 0.836
Be1 0.250 0.500 0.500
Be2 0.750 0.500 0.500
Al1 0.750 0.000 0.000
Al2 0.250 0.000 0.000

9.
The following is a GGA-PBE calculation of a geometry-optimized AlNO2F structure, from the Alexandria database.

Calculated values
E ... -4.736 eV/atom
Space group ... P4/mmm
Size of the total moment ... 1.607 μB/f.u.
E_form (uncorrected) ... 0.0351 eV per atom
DOS(E_F) ... 4.8 states/eV/cell

abc: 3.583 3.583 4.117
angles: 90.00 90.00 90.00
Atoms (fractional coordinates):
O1 0.500 0.000 0.000
O2 0.000 0.500 0.000
N1 0.000 0.000 0.500
F1 0.500 0.500 0.500
Al1 0.000 0.000 0.000